No. 1
DFT (PBE) results for an optimized crystal structure of MgGa6Cu12.

Results
ΔE_f (eV/atom): 0.05

a = 6.858 Å, b = 6.858 Å, c = 6.858 Å
α = 105.05°, β = 105.05°, γ = 105.05°
Positions (direct):
Mg: 0.000 0.000 0.000
Ga: 0.294 0.294 0.697
Ga: 0.294 0.697 0.294
Ga: 0.303 0.706 0.706
Ga: 0.697 0.294 0.294
Ga: 0.706 0.303 0.706
Ga: 0.706 0.706 0.303
Cu: 0.112 0.354 0.354
Cu: 0.112 0.500 0.888
Cu: 0.112 0.888 0.500
Cu: 0.354 0.112 0.354
Cu: 0.354 0.354 0.112
Cu: 0.500 0.112 0.888
Cu: 0.500 0.888 0.112
Cu: 0.646 0.646 0.888
Cu: 0.646 0.888 0.646
Cu: 0.888 0.112 0.500
Cu: 0.888 0.500 0.112
Cu: 0.888 0.646 0.646

***

No. 2
DFT (PBE) results for an optimized crystal structure of SnBi2Au.

Results
ΔE_f (eV/atom): 0.00

a = 3.942 Å, b = 4.097 Å, c = 14.641 Å
α = 90.00°, β = 90.02°, γ = 90.00°
Positions (direct):
Sn: 0.249 0.000 0.082
Sn: 0.751 0.500 0.918
Bi: 0.245 0.998 0.417
Bi: 0.254 0.998 0.691
Bi: 0.746 0.498 0.309
Bi: 0.755 0.498 0.583
Au: 0.251 0.000 0.888
Au: 0.749 0.500 0.112

***

No. 3
DFT (PBE) results for an optimized crystal structure of SiPtN2O.

Results
Formation energy from raw total energies (kJ/mol of formula units): 617

a = 3.850 Å, b = 3.850 Å, c = 4.221 Å
α = 90.00°, β = 90.00°, γ = 90.00°
Positions (direct):
Si: 0.000 0.000 0.000
Pt: 0.500 0.500 0.500
N: 0.000 0.500 0.500
N: 0.500 0.000 0.500
O: 0.500 0.500 0.000

***

No. 4
DFT (PBE) results for an optimized crystal structure of VFe3As.

Results
ΔE_f (eV/atom): 1.09
Energy above the most stable polymorph in this dataset (meV/atom): 323

a = 4.305 Å, b = 4.305 Å, c = 4.305 Å
α = 90.00°, β = 90.00°, γ = 90.00°
Positions (direct):
V: 0.000 0.000 0.000
Fe: 0.000 0.000 0.500
Fe: 0.000 0.500 0.000
Fe: 0.500 0.000 0.000
As: 0.500 0.500 0.500

***

No. 5
DFT (PBE) results for an optimized crystal structure of BaU6S12.

Results
Formation energy from raw total energies (kJ/mol of formula units): -2360

a = 8.120 Å, b = 8.120 Å, c = 8.120 Å
α = 106.74°, β = 106.74°, γ = 106.74°
Positions (direct):
Ba: 0.000 0.000 0.000
U: 0.257 0.257 0.664
U: 0.257 0.664 0.257
U: 0.336 0.743 0.743
U: 0.664 0.257 0.257
U: 0.743 0.336 0.743
U: 0.743 0.743 0.336
S: 0.128 0.500 0.872
S: 0.128 0.872 0.500
S: 0.167 0.424 0.424
S: 0.424 0.167 0.424
S: 0.424 0.424 0.167
S: 0.500 0.128 0.872
S: 0.500 0.872 0.128
S: 0.576 0.576 0.833
S: 0.576 0.833 0.576
S: 0.833 0.576 0.576
S: 0.872 0.128 0.500
S: 0.872 0.500 0.128

***

No. 6
DFT (PBE) results for an optimized crystal structure of KTiPCl2.

Results
Formation energy from raw total energies (kJ/mol of formula units): -514
Energy above the most stable polymorph in this dataset (meV/atom): 0

a = 5.050 Å, b = 5.050 Å, c = 4.750 Å
α = 90.00°, β = 90.00°, γ = 90.00°
Positions (direct):
K: 0.000 0.000 0.000
Ti: 0.500 0.500 0.500
P: 0.500 0.500 0.000
Cl: 0.000 0.500 0.500
Cl: 0.500 0.000 0.500

***

No. 7
DFT (PBE) results for an optimized crystal structure of YMn3Ru.

Results
ΔE_f (eV/atom): 2.55
Energy above the most stable polymorph in this dataset (meV/atom): 1889

a = 4.386 Å, b = 4.386 Å, c = 4.386 Å
α = 90.00°, β = 90.00°, γ = 90.00°
Positions (direct):
Y: 0.000 0.000 0.000
Mn: 0.000 0.000 0.500
Mn: 0.000 0.500 0.000
Mn: 0.500 0.000 0.000
Ru: 0.500 0.500 0.500

***

No. 8
DFT (PBE) results for an optimized crystal structure of La6Pr2HoMg.

Results
ΔE_f (eV/atom): 0.09

a = 8.771 Å, b = 8.771 Å, c = 9.535 Å
α = 94.99°, β = 94.99°, γ = 104.75°
Positions (direct):
La: 0.041 0.468 0.676
La: 0.067 0.823 0.901
La: 0.177 0.933 0.599
La: 0.246 0.580 0.082
La: 0.420 0.754 0.418
La: 0.468 0.041 0.176
La: 0.532 0.959 0.824
La: 0.580 0.246 0.582
La: 0.754 0.420 0.918
La: 0.823 0.067 0.401
La: 0.933 0.177 0.099
La: 0.959 0.532 0.324
Pr: 0.235 0.300 0.409
Pr: 0.300 0.235 0.909
Pr: 0.700 0.765 0.091
Pr: 0.765 0.700 0.591
Ho: 0.431 0.569 0.750
Ho: 0.569 0.431 0.250
Mg: 0.096 0.904 0.250
Mg: 0.904 0.096 0.750

***

No. 9
DFT (PBE) results for an optimized crystal structure of TbNdMnAl.

Results
ΔE_f (eV/atom): -0.03

a = 7.320 Å, b = 7.320 Å, c = 7.320 Å
α = 90.00°, β = 90.00°, γ = 90.00°
Positions (direct):
Tb: 0.000 0.000 0.000
Tb: 0.000 0.500 0.500
Tb: 0.500 0.000 0.500
Tb: 0.500 0.500 0.000
Nd: 0.000 0.000 0.500
Nd: 0.000 0.500 0.000
Nd: 0.500 0.000 0.000
Nd: 0.500 0.500 0.500
Mn: 0.250 0.250 0.250
Mn: 0.250 0.750 0.750
Mn: 0.750 0.250 0.750
Mn: 0.750 0.750 0.250
Al: 0.250 0.250 0.750
Al: 0.250 0.750 0.250
Al: 0.750 0.250 0.250
Al: 0.750 0.750 0.750

***

No. 10
DFT (PBE) results for an optimized crystal structure of CePdN2.

Results
Formation energy from raw total energies (kJ/mol of formula units): -146

a = 3.719 Å, b = 3.719 Å, c = 17.352 Å
α = 90.00°, β = 90.00°, γ = 120.00°
Positions (direct):
Ce: 0.000 0.000 0.000
Ce: 0.333 0.667 0.667
Ce: 0.667 0.333 0.333
Pd: 0.000 0.000 0.500
Pd: 0.333 0.667 0.167
Pd: 0.667 0.333 0.833
N: 0.000 0.000 0.389
N: 0.000 0.000 0.611
N: 0.333 0.667 0.055
N: 0.333 0.667 0.278
N: 0.667 0.333 0.722
N: 0.667 0.333 0.945

***

No. 11
DFT (PBE) results for an optimized crystal structure of NaSn2S4.

Results
Formation energy from raw total energies (kJ/mol of formula units): -319
Energy above the most stable polymorph in this dataset (meV/atom): 63

a = 6.183 Å, b = 6.183 Å, c = 10.675 Å
α = 90.00°, β = 90.00°, γ = 115.14°
Positions (direct):
Na: 0.000 0.000 0.250
Na: 0.000 0.000 0.750
Sn: 0.277 0.720 0.000
Sn: 0.280 0.723 0.500
Sn: 0.720 0.277 0.500
Sn: 0.723 0.280 0.000
S: 0.000 0.500 0.176
S: 0.000 0.500 0.824
S: 0.129 0.269 0.500
S: 0.269 0.129 0.000
S: 0.500 0.000 0.324
S: 0.500 0.000 0.676
S: 0.731 0.871 0.000
S: 0.871 0.731 0.500

***

No. 12
DFT (PBE) results for an optimized crystal structure of IrOs2Pt.

Results
ΔE_f (eV/atom): 0.17
Energy above the most stable polymorph in this dataset (meV/atom): 108

a = 3.853 Å, b = 3.853 Å, c = 7.886 Å
α = 90.00°, β = 90.00°, γ = 90.00°
Positions (direct):
Ir: 0.000 0.000 0.000
Ir: 0.500 0.500 0.500
Os: 0.000 0.500 0.250
Os: 0.000 0.500 0.750
Os: 0.500 0.000 0.250
Os: 0.500 0.000 0.750
Pt: 0.000 0.000 0.500
Pt: 0.500 0.500 0.000

***

No. 13
DFT (PBE) results for an optimized crystal structure of Sm2C3.

Results
ΔE_f (eV/atom): -0.21

a = 7.342 Å, b = 7.342 Å, c = 7.342 Å
α = 109.47°, β = 109.47°, γ = 109.47°
Positions (direct):
Sm: 0.000 0.102 0.500
Sm: 0.000 0.602 0.500
Sm: 0.102 0.500 0.000
Sm: 0.398 0.398 0.398
Sm: 0.500 0.000 0.102
Sm: 0.500 0.000 0.602
Sm: 0.602 0.500 0.000
Sm: 0.898 0.898 0.898
C: 0.046 0.796 0.250
C: 0.204 0.954 0.250
C: 0.250 0.046 0.796
C: 0.250 0.204 0.954
C: 0.296 0.546 0.750
C: 0.454 0.704 0.750
C: 0.546 0.750 0.296
C: 0.704 0.750 0.454
C: 0.750 0.296 0.546
C: 0.750 0.454 0.704
C: 0.796 0.250 0.046
C: 0.954 0.250 0.204